#one
Computed, not measured: crystalline Ga3NiF at its relaxed geometry at the PBE+U level of DFT.

Structure (POSCAR):
```
Ga3NiF
1.0
-3.7059 1.7646 -1.8384
-0.8456 -3.9124 -2.0508
-2.4039 -1.3442 3.5555
Ga F Ni
3 1 1
direct
0.0000 0.0000 0.5000
0.0000 0.5000 0.0000
0.5000 0.0000 0.0000
0.5000 0.5000 0.5000
0.0000 0.0000 0.0000
```

mass density = 5.24 Mg/m³
DOS(E_F) = 0.051 states/eV/atom
magnetization = 0.000 Bohr magnetons per cell

---

#two
Computed, not measured: crystalline Ga3NiF at its relaxed geometry at the PBE+U level of DFT.

Structure (POSCAR):
```
Ga3NiF
1.0
4.5108 0.0000 0.0000
0.0000 4.5108 0.0000
0.0000 0.0000 4.5108
Ga Ni F
3 1 1
direct
0.0000 0.5000 0.0000
0.0000 0.0000 0.5000
0.5000 0.0000 0.0000
0.5000 0.5000 0.5000
0.0000 0.0000 0.0000
```

mass density = 5.19 Mg/m³
DOS(E_F) = 0.585 states/eV/atom
magnetization = 0.663 Bohr magnetons per cell

---

Looking at the structures above, which would you pick as the most stable? I would pick #one.